No. 1
VASP calculation (meta-GGA SCAN) on a crystal of Tc2NiBAu relaxed with PBEsol.

## Properties
Energy of formation   13.2 eV/f.u.

Cell: 4.496 4.814 4.814 Å, 90.00 90.00 90.00°
Site moments in Bohr magnetons follow the coordinates.
Sites, in units of the cell vectors:
Ni (0.500, 0.000, 0.000)  1.17
B (0.500, 0.500, 0.500)  -0.18
Au (0.000, 0.000, 0.000)  0.19
Tc (0.000, 0.000, 0.500)  2.95
Tc (0.000, 0.500, 0.000)  2.95

No. 2
VASP calculation (meta-GGA SCAN) on a crystal of TiNi2BAu relaxed with PBEsol.

## Properties
Energy of formation   -0.2 eV/f.u.

Cell: 3.887 3.887 4.176 Å, 90.00 90.00 90.00°
Site moments in Bohr magnetons follow the coordinates.
Sites, in units of the cell vectors:
Ni (0.000, 0.500, 0.000)  0.41
Ni (0.500, 0.000, 0.000)  0.41
B (0.000, 0.000, 0.000)  -0.03
Au (0.000, 0.000, 0.500)  0.04
Ti (0.500, 0.500, 0.500)  0.86

No. 3
VASP calculation (meta-GGA SCAN) on a crystal of BAuO3 relaxed with PBEsol.

## Properties
Raw formation energy   17.7 meV/atom

Cell: 3.458 3.458 3.458 Å, 90.00 90.00 90.00°
Site moments in Bohr magnetons follow the coordinates.
Sites, in units of the cell vectors:
B (0.000, 0.000, 0.000)  -0.04
Au (0.500, 0.500, 0.500)  0.66
O (0.000, 0.500, 0.000)  0.43
O (0.000, 0.000, 0.500)  0.43
O (0.500, 0.000, 0.000)  0.43

No. 4
VASP calculation (meta-GGA SCAN) on a crystal of Rb2BAuO relaxed with PBEsol.

## Properties
Raw formation energy   299.3 meV/atom

Cell: 3.957 5.757 5.757 Å, 90.00 90.00 90.00°
Site moments in Bohr magnetons follow the coordinates.
Sites, in units of the cell vectors:
B (0.500, 0.500, 0.500)  0.63
Au (0.500, 0.000, 0.000)  0.04
O (0.000, 0.000, 0.000)  0.03
Rb (0.000, 0.000, 0.500)  0.04
Rb (0.000, 0.500, 0.000)  0.04

No. 5
VASP calculation (meta-GGA SCAN) on a crystal of BP3Au relaxed with PBEsol.

## Properties
Energy of formation   4.7 eV/f.u.

Cell: 4.088 4.088 4.088 Å, 90.00 90.00 90.00°
Sites, in units of the cell vectors:
P (0.000, 0.500, 0.000)
P (0.000, 0.000, 0.500)
P (0.500, 0.000, 0.000)
B (0.000, 0.000, 0.000)
Au (0.500, 0.500, 0.500)

No. 6
VASP calculation (meta-GGA SCAN) on a crystal of BPAuS2 relaxed with PBEsol.

## Properties
Raw formation energy   989.9 meV/atom

Cell: 4.186 4.114 4.114 Å, 90.00 90.00 90.00°
Sites, in units of the cell vectors:
P (0.500, 0.000, 0.000)
S (0.000, 0.000, 0.500)
S (0.000, 0.500, 0.000)
B (0.000, 0.000, 0.000)
Au (0.500, 0.500, 0.500)

No. 7
VASP calculation (meta-GGA SCAN) on a crystal of BP2AuS relaxed with PBEsol.

## Properties
Raw formation energy   976.5 meV/atom

Cell: 4.181 4.091 4.091 Å, 90.00 90.00 90.00°
Sites, in units of the cell vectors:
P (0.000, 0.000, 0.500)
P (0.000, 0.500, 0.000)
S (0.500, 0.000, 0.000)
B (0.000, 0.000, 0.000)
Au (0.500, 0.500, 0.500)

No. 8
VASP calculation (meta-GGA SCAN) on a crystal of BPb3Au relaxed with PBEsol.

## Properties
Energy of formation   3.5 eV/f.u.

Cell: 4.924 4.924 4.924 Å, 90.00 90.00 90.00°
Sites, in units of the cell vectors:
Pb (0.000, 0.500, 0.000)
Pb (0.000, 0.000, 0.500)
Pb (0.500, 0.000, 0.000)
B (0.000, 0.000, 0.000)
Au (0.500, 0.500, 0.500)

No. 9
VASP calculation (meta-GGA SCAN) on a crystal of B2Pt2Au relaxed with PBEsol.

## Properties
Energy of formation   -1.3 eV/f.u.

Cell: 3.185 3.185 6.593 Å, 103.98 103.98 90.00°
Sites, in units of the cell vectors:
B (0.250, 0.750, 0.500)
B (0.750, 0.250, 0.500)
Au (0.000, 0.000, 0.000)
Pt (0.363, 0.363, 0.726)
Pt (0.637, 0.637, 0.274)

No. 10
VASP calculation (meta-GGA SCAN) on a crystal of BPt3Au relaxed with PBEsol.

## Properties
Energy of formation   -1.1 eV/f.u.

Cell: 5.500 5.596 5.596 Å, 119.77 105.05 74.95°
Sites, in units of the cell vectors:
B (0.000, 0.668, 0.332)
B (0.000, 0.332, 0.668)
Au (0.734, 0.044, 0.956)
Au (0.266, 0.956, 0.044)
Pt (0.271, 0.953, 0.543)
Pt (0.269, 0.454, 0.546)
Pt (0.729, 0.543, 0.953)
Pt (0.731, 0.546, 0.454)
Pt (0.271, 0.457, 0.047)
Pt (0.729, 0.047, 0.457)

No. 11
VASP calculation (meta-GGA SCAN) on a crystal of B2RuPtAu relaxed with PBEsol.

## Properties
Energy of formation   5.3 eV/f.u.

Cell: 3.951 3.951 5.188 Å, 90.00 90.00 90.00°
Site moments in Bohr magnetons follow the coordinates.
Sites, in units of the cell vectors:
Ru (0.500, 0.500, 0.500)  2.29
B (0.000, 0.500, 0.000)  0.04
B (0.500, 0.000, 0.000)  0.04
Au (0.000, 0.000, 0.500)  0.07
Pt (0.000, 0.000, 0.000)  0.08

No. 12
VASP calculation (meta-GGA SCAN) on a crystal of ScBPt2Au relaxed with PBEsol.

## Properties
Energy of formation   -2.8 eV/f.u.

Cell: 4.227 4.227 4.319 Å, 90.00 90.00 90.00°
Sites, in units of the cell vectors:
Sc (0.500, 0.500, 0.500)
B (0.000, 0.000, 0.000)
Au (0.000, 0.000, 0.500)
Pt (0.000, 0.500, 0.000)
Pt (0.500, 0.000, 0.000)

No. 13
VASP calculation (meta-GGA SCAN) on a crystal of BRh3Au relaxed with PBEsol.

## Properties
Energy of formation   0.1 eV/f.u.

Cell: 4.056 4.056 4.056 Å, 90.00 90.00 90.00°
Sites, in units of the cell vectors:
Rh (0.000, 0.500, 0.000)
Rh (0.000, 0.000, 0.500)
Rh (0.500, 0.000, 0.000)
B (0.000, 0.000, 0.000)
Au (0.500, 0.500, 0.500)

No. 14
VASP calculation (meta-GGA SCAN) on a crystal of Sn2BRhAu relaxed with PBEsol.

## Properties
Energy of formation   3.5 eV/f.u.

Cell: 4.144 4.679 4.679 Å, 90.00 90.00 90.00°
Sites, in units of the cell vectors:
Rh (0.500, 0.500, 0.500)
B (0.000, 0.000, 0.000)
Au (0.500, 0.000, 0.000)
Sn (0.000, 0.000, 0.500)
Sn (0.000, 0.500, 0.000)

No. 15
VASP calculation (meta-GGA SCAN) on a crystal of Ta2BRuAu relaxed with PBEsol.

## Properties
Energy of formation   -0.5 eV/f.u.

Cell: 4.029 4.293 4.293 Å, 90.00 90.00 90.00°
Sites, in units of the cell vectors:
Ru (0.500, 0.000, 0.000)
B (0.000, 0.000, 0.000)
Au (0.500, 0.500, 0.500)
Ta (0.000, 0.000, 0.500)
Ta (0.000, 0.500, 0.000)

No. 16
VASP calculation (meta-GGA SCAN) on a crystal of BAuS3 relaxed with PBEsol.

## Properties
Raw formation energy   970.4 meV/atom

Cell: 4.149 4.149 4.149 Å, 90.00 90.00 90.00°
Sites, in units of the cell vectors:
S (0.000, 0.500, 0.000)
S (0.000, 0.000, 0.500)
S (0.500, 0.000, 0.000)
B (0.000, 0.000, 0.000)
Au (0.500, 0.500, 0.500)

No. 17
VASP calculation (meta-GGA SCAN) on a crystal of B2SbAuSe relaxed with PBEsol.

## Properties
Raw formation energy   980.7 meV/atom

Cell: 4.059 4.059 6.247 Å, 90.00 90.00 90.00°
Sites, in units of the cell vectors:
Sb (0.500, 0.500, 0.500)
B (0.000, 0.500, 0.000)
B (0.500, 0.000, 0.000)
Au (0.000, 0.000, 0.000)
Se (0.000, 0.000, 0.500)

No. 18
VASP calculation (meta-GGA SCAN) on a crystal of BSb2TeAu relaxed with PBEsol.

## Properties
Raw formation energy   862.5 meV/atom

Cell: 4.884 4.686 4.686 Å, 90.00 90.00 90.00°
Sites, in units of the cell vectors:
Sb (0.000, 0.000, 0.500)
Sb (0.000, 0.500, 0.000)
B (0.000, 0.000, 0.000)
Te (0.500, 0.000, 0.000)
Au (0.500, 0.500, 0.500)

No. 19
VASP calculation (meta-GGA SCAN) on a crystal of Sc2BAu relaxed with PBEsol.

## Properties
Energy of formation   2.1 eV/f.u.

Cell: 3.413 3.413 8.789 Å, 78.81 78.81 60.00°
Site moments in Bohr magnetons follow the coordinates.
Sites, in units of the cell vectors:
Sc (0.909, 0.909, 0.274)  0.10
Sc (0.091, 0.091, 0.726)  0.10
B (0.000, 0.000, 0.000)  0.17
Au (0.500, 0.500, 0.500)  0.00

No. 20
VASP calculation (meta-GGA SCAN) on a crystal of SiB3Au relaxed with PBEsol.

## Properties
Raw formation energy   1610.9 meV/atom

Cell: 3.994 3.994 3.994 Å, 90.00 90.00 90.00°
Sites, in units of the cell vectors:
Si (0.000, 0.000, 0.000)
B (0.000, 0.500, 0.000)
B (0.000, 0.000, 0.500)
B (0.500, 0.000, 0.000)
Au (0.500, 0.500, 0.500)